Computed, not measured: crystalline LiYPb2 at its relaxed geometry at the PBE-GGA level of DFT.

a = 3.615 Å, b = 3.615 Å, c = 7.836 Å
α = 90.00°, β = 90.00°, γ = 90.00°
Positions (direct):
Li 0.000 0.000 0.000
Y 0.000 0.000 0.500
Pb 0.500 0.500 0.223
Pb 0.500 0.500 0.777

Values from the calculation:
Energy in eV/atom: -4.30
Crystal system: tetragonal

***

Computed, not measured: crystalline LiYPb2 at its relaxed geometry at the PBE-GGA level of DFT.

a = 4.067 Å, b = 4.067 Å, c = 6.542 Å
α = 90.00°, β = 90.00°, γ = 90.00°
Positions (direct):
Li 0.000 0.000 0.000
Y 0.500 0.500 0.708
Pb 0.000 0.000 0.481
Pb 0.500 0.500 0.192

Values from the calculation:
Energy in eV/atom: -4.13
Crystal system: tetragonal

***

Computed, not measured: crystalline Li4YPb at its relaxed geometry at the PBE-GGA level of DFT.

a = 5.622 Å, b = 5.622 Å, c = 5.622 Å
α = 60.00°, β = 60.00°, γ = 60.00°
Positions (direct):
Li 0.125 0.125 0.125
Li 0.125 0.125 0.624
Li 0.125 0.624 0.125
Li 0.624 0.125 0.125
Y 0.500 0.500 0.500
Pb 0.750 0.750 0.750

Values from the calculation:
Energy in eV/atom: -3.07
Crystal system: cubic

***

Computed, not measured: crystalline Li2Y2Pb at its relaxed geometry at the PBE-GGA level of DFT.

a = 4.597 Å, b = 4.597 Å, c = 12.138 Å
α = 90.00°, β = 90.00°, γ = 90.00°
Positions (direct):
Li 0.000 0.000 0.086
Li 0.000 0.000 0.914
Li 0.500 0.500 0.414
Li 0.500 0.500 0.586
Y 0.000 0.500 0.250
Y 0.000 0.500 0.750
Y 0.500 0.000 0.250
Y 0.500 0.000 0.750
Pb 0.000 0.000 0.500
Pb 0.500 0.500 0.000

Values from the calculation:
Energy in eV/atom: -3.91
Crystal system: tetragonal
Distance to the lowest polymorph of the same formula in eV per atom: 0.379

***

Computed, not measured: crystalline LiYPb2 at its relaxed geometry at the PBE-GGA level of DFT.

a = 3.531 Å, b = 5.502 Å, c = 11.730 Å
α = 90.00°, β = 90.00°, γ = 90.00°
Positions (direct):
Li 0.000 0.000 0.000
Li 0.500 0.500 0.500
Y 0.000 0.000 0.500
Y 0.500 0.500 0.000
Pb 0.000 0.000 0.221
Pb 0.000 0.000 0.779
Pb 0.500 0.500 0.279
Pb 0.500 0.500 0.721

Values from the calculation:
Energy in eV/atom: -3.91
Crystal system: orthorhombic

***

Computed, not measured: crystalline LiYPb3 at its relaxed geometry at the PBE-GGA level of DFT.

a = 5.904 Å, b = 5.904 Å, c = 5.904 Å
α = 90.00°, β = 90.00°, γ = 90.00°
Positions (direct):
Li 0.000 0.000 0.000
Y 0.500 0.500 0.500
Pb 0.000 0.500 0.500
Pb 0.500 0.000 0.500
Pb 0.500 0.500 0.000

Values from the calculation:
Energy in eV/atom: -3.58
Crystal system: cubic
Distance to the lowest polymorph of the same formula in eV per atom: 0.337

***

Computed, not measured: crystalline Li3YPb2 at its relaxed geometry at the PBE-GGA level of DFT.

a = 7.647 Å, b = 7.647 Å, c = 8.962 Å
α = 116.77°, β = 116.77°, γ = 35.82°
Positions (direct):
Li 0.051 0.051 0.384
Li 0.274 0.274 0.456
Li 0.403 0.403 0.318
Li 0.597 0.597 0.682
Li 0.726 0.726 0.544
Li 0.949 0.949 0.616
Y 0.138 0.138 0.023
Y 0.862 0.862 0.977
Pb 0.210 0.210 0.731
Pb 0.456 0.456 0.803
Pb 0.544 0.544 0.197
Pb 0.790 0.790 0.269

Values from the calculation:
Energy in eV/atom: -3.63
Crystal system: monoclinic

***

Computed, not measured: crystalline Li2Y2Pb at its relaxed geometry at the PBE-GGA level of DFT.

a = 7.104 Å, b = 7.104 Å, c = 4.778 Å
α = 90.00°, β = 90.00°, γ = 90.00°
Positions (direct):
Li 0.128 0.372 0.000
Li 0.372 0.872 0.000
Li 0.628 0.128 0.000
Li 0.872 0.628 0.000
Y 0.181 0.681 0.500
Y 0.319 0.181 0.500
Y 0.681 0.819 0.500
Y 0.819 0.319 0.500
Pb 0.000 0.000 0.000
Pb 0.500 0.500 0.000

Values from the calculation:
Energy in eV/atom: -4.29
Crystal system: tetragonal
Distance to the lowest polymorph of the same formula in eV per atom: 0.000

***

Computed, not measured: crystalline LiYPb3 at its relaxed geometry at the PBE-GGA level of DFT.

a = 5.164 Å, b = 5.164 Å, c = 5.164 Å
α = 90.00°, β = 90.00°, γ = 90.00°
Positions (direct):
Li 0.000 0.000 0.000
Y 0.500 0.500 0.500
Pb 0.000 0.000 0.500
Pb 0.000 0.500 0.000
Pb 0.500 0.000 0.000

Values from the calculation:
Energy in eV/atom: -3.92
Crystal system: cubic
Distance to the lowest polymorph of the same formula in eV per atom: 0.000

***

Computed, not measured: crystalline Li3YPb4 at its relaxed geometry at the PBE-GGA level of DFT.

a = 5.229 Å, b = 5.229 Å, c = 7.168 Å
α = 90.00°, β = 90.00°, γ = 90.00°
Positions (direct):
Li 0.000 0.000 0.000
Li 0.000 0.000 0.500
Li 0.500 0.500 0.000
Y 0.500 0.500 0.500
Pb 0.000 0.500 0.229
Pb 0.000 0.500 0.771
Pb 0.500 0.000 0.229
Pb 0.500 0.000 0.771

Values from the calculation:
Energy in eV/atom: -3.70
Crystal system: tetragonal

***

Computed, not measured: crystalline Li4YPb2 at its relaxed geometry at the PBE-GGA level of DFT.

a = 8.013 Å, b = 8.013 Å, c = 4.700 Å
α = 90.00°, β = 90.00°, γ = 90.00°
Positions (direct):
Li 0.110 0.359 0.000
Li 0.141 0.610 0.500
Li 0.359 0.110 0.000
Li 0.390 0.859 0.500
Li 0.610 0.141 0.500
Li 0.641 0.890 0.000
Li 0.859 0.390 0.500
Li 0.890 0.641 0.000
Y 0.000 0.000 0.500
Y 0.500 0.500 0.000
Pb 0.208 0.792 0.000
Pb 0.292 0.292 0.500
Pb 0.708 0.708 0.500
Pb 0.792 0.208 0.000

Values from the calculation:
Energy in eV/atom: -3.45
Crystal system: tetragonal

***

Computed, not measured: crystalline LiYPb2 at its relaxed geometry at the PBE-GGA level of DFT.

a = 3.531 Å, b = 3.531 Å, c = 31.876 Å
α = 90.00°, β = 90.00°, γ = 120.00°
Positions (direct):
Li 0.000 0.000 0.000
Li 0.333 0.667 0.667
Li 0.667 0.333 0.333
Y 0.000 0.000 0.247
Y 0.333 0.667 0.914
Y 0.667 0.333 0.580
Pb 0.000 0.000 0.495
Pb 0.000 0.000 0.740
Pb 0.333 0.667 0.162
Pb 0.333 0.667 0.407
Pb 0.667 0.333 0.073
Pb 0.667 0.333 0.828

Values from the calculation:
Energy in eV/atom: -3.96
Crystal system: trigonal

***

Computed, not measured: crystalline Li2YPb9 at its relaxed geometry at the PBE-GGA level of DFT.

a = 4.800 Å, b = 4.800 Å, c = 14.922 Å
α = 90.00°, β = 90.00°, γ = 90.00°
Positions (direct):
Li 0.000 0.000 0.167
Li 0.000 0.000 0.833
Y 0.000 0.000 0.500
Pb 0.000 0.500 0.000
Pb 0.000 0.500 0.328
Pb 0.000 0.500 0.672
Pb 0.500 0.000 0.000
Pb 0.500 0.000 0.328
Pb 0.500 0.000 0.672
Pb 0.500 0.500 0.163
Pb 0.500 0.500 0.500
Pb 0.500 0.500 0.837

Values from the calculation:
Energy in eV/atom: -3.82
Crystal system: tetragonal

***

Computed, not measured: crystalline LiYPb2 at its relaxed geometry at the PBE-GGA level of DFT.

a = 4.815 Å, b = 4.815 Å, c = 9.028 Å
α = 90.00°, β = 90.00°, γ = 90.00°
Positions (direct):
Li 0.000 0.000 0.000
Li 0.500 0.500 0.500
Y 0.000 0.000 0.500
Y 0.500 0.500 0.000
Pb 0.000 0.500 0.250
Pb 0.000 0.500 0.750
Pb 0.500 0.000 0.250
Pb 0.500 0.000 0.750

Values from the calculation:
Energy in eV/atom: -4.30
Crystal system: tetragonal

***

Computed, not measured: crystalline Li2Y3Pb4 at its relaxed geometry at the PBE-GGA level of DFT.

a = 6.327 Å, b = 6.327 Å, c = 8.961 Å
α = 107.01°, β = 107.01°, γ = 42.83°
Positions (direct):
Li 0.196 0.196 0.382
Li 0.804 0.804 0.618
Y 0.125 0.125 0.694
Y 0.500 0.500 0.000
Y 0.875 0.875 0.306
Pb 0.200 0.200 0.084
Pb 0.422 0.422 0.618
Pb 0.578 0.578 0.382
Pb 0.800 0.800 0.916

Values from the calculation:
Energy in eV/atom: -4.67
Crystal system: monoclinic

***

Computed, not measured: crystalline Li3YPb3 at its relaxed geometry at the PBE-GGA level of DFT.

a = 7.253 Å, b = 7.253 Å, c = 7.253 Å
α = 90.00°, β = 90.00°, γ = 90.00°
Positions (direct):
Li 0.000 0.250 0.500
Li 0.000 0.750 0.500
Li 0.250 0.500 0.000
Li 0.500 0.000 0.250
Li 0.500 0.000 0.750
Li 0.750 0.500 0.000
Y 0.000 0.000 0.000
Y 0.500 0.500 0.500
Pb 0.000 0.500 0.250
Pb 0.000 0.500 0.750
Pb 0.250 0.000 0.500
Pb 0.500 0.250 0.000
Pb 0.500 0.750 0.000
Pb 0.750 0.000 0.500

Values from the calculation:
Energy in eV/atom: -3.10
Crystal system: cubic

***

Computed, not measured: crystalline Li5YPb6 at its relaxed geometry at the PBE-GGA level of DFT.

a = 5.153 Å, b = 7.132 Å, c = 8.097 Å
α = 90.00°, β = 105.92°, γ = 90.00°
Positions (direct):
Li 0.000 0.000 0.000
Li 0.292 0.000 0.661
Li 0.322 0.500 0.678
Li 0.678 0.500 0.322
Li 0.708 0.000 0.339
Y 0.000 0.500 0.000
Pb 0.200 0.246 0.348
Pb 0.200 0.754 0.348
Pb 0.500 0.228 0.000
Pb 0.500 0.772 0.000
Pb 0.800 0.246 0.652
Pb 0.800 0.754 0.652

Values from the calculation:
Energy in eV/atom: -3.50
Crystal system: monoclinic

***

Computed, not measured: crystalline LiYPb2 at its relaxed geometry at the PBE-GGA level of DFT.

a = 7.608 Å, b = 7.608 Å, c = 7.608 Å
α = 90.00°, β = 90.00°, γ = 90.00°
Positions (direct):
Li 0.000 0.000 0.000
Li 0.000 0.500 0.500
Li 0.500 0.000 0.500
Li 0.500 0.500 0.000
Y 0.250 0.250 0.750
Y 0.250 0.750 0.250
Y 0.750 0.250 0.250
Y 0.750 0.750 0.750
Pb 0.000 0.000 0.500
Pb 0.000 0.500 0.000
Pb 0.250 0.250 0.250
Pb 0.250 0.750 0.750
Pb 0.500 0.000 0.000
Pb 0.500 0.500 0.500
Pb 0.750 0.250 0.750
Pb 0.750 0.750 0.250

Values from the calculation:
Energy in eV/atom: -4.08
Crystal system: cubic

***

Computed, not measured: crystalline LiYPb2 at its relaxed geometry at the PBE-GGA level of DFT.

a = 9.620 Å, b = 3.653 Å, c = 6.295 Å
α = 90.00°, β = 102.87°, γ = 90.00°
Positions (direct):
Li 0.000 0.000 0.000
Li 0.500 0.500 0.000
Y 0.000 0.500 0.500
Y 0.500 0.000 0.500
Pb 0.240 0.500 0.220
Pb 0.260 0.000 0.780
Pb 0.740 0.000 0.220
Pb 0.760 0.500 0.780

Values from the calculation:
Energy in eV/atom: -4.23
Crystal system: monoclinic

***

Computed, not measured: crystalline LiYPb2 at its relaxed geometry at the PBE-GGA level of DFT.

a = 11.940 Å, b = 3.530 Å, c = 5.387 Å
α = 90.00°, β = 107.40°, γ = 90.00°
Positions (direct):
Li 0.000 0.000 0.000
Li 0.500 0.500 0.000
Y 0.236 0.000 0.582
Y 0.736 0.500 0.582
Pb 0.253 0.500 0.091
Pb 0.497 0.000 0.519
Pb 0.753 0.000 0.091
Pb 0.997 0.500 0.519

Values from the calculation:
Energy in eV/atom: -4.28
Crystal system: monoclinic

***

Computed, not measured: crystalline Li4YPb5 at its relaxed geometry at the PBE-GGA level of DFT.

a = 3.587 Å, b = 3.587 Å, c = 18.523 Å
α = 90.00°, β = 90.00°, γ = 90.00°
Positions (direct):
Li 0.000 0.000 0.095
Li 0.000 0.000 0.286
Li 0.000 0.000 0.714
Li 0.000 0.000 0.905
Y 0.000 0.000 0.500
Pb 0.500 0.500 0.000
Pb 0.500 0.500 0.191
Pb 0.500 0.500 0.381
Pb 0.500 0.500 0.619
Pb 0.500 0.500 0.809

Values from the calculation:
Energy in eV/atom: -3.57
Crystal system: tetragonal

***

Computed, not measured: crystalline Li3YPb at its relaxed geometry at the PBE-GGA level of DFT.

a = 4.994 Å, b = 4.994 Å, c = 4.994 Å
α = 90.00°, β = 90.00°, γ = 90.00°
Positions (direct):
Li 0.000 0.000 0.500
Li 0.000 0.500 0.000
Li 0.500 0.000 0.000
Y 0.500 0.500 0.500
Pb 0.000 0.000 0.000

Values from the calculation:
Energy in eV/atom: -3.05
Crystal system: cubic
Distance to the lowest polymorph of the same formula in eV per atom: 0.000

***

Computed, not measured: crystalline LiYPb2 at its relaxed geometry at the PBE-GGA level of DFT.

a = 4.477 Å, b = 4.477 Å, c = 20.051 Å
α = 90.00°, β = 90.00°, γ = 120.00°
Positions (direct):
Li 0.000 0.000 0.000
Li 0.333 0.667 0.667
Li 0.667 0.333 0.333
Y 0.000 0.000 0.183
Y 0.333 0.667 0.850
Y 0.667 0.333 0.516
Pb 0.000 0.000 0.602
Pb 0.000 0.000 0.750
Pb 0.333 0.667 0.269
Pb 0.333 0.667 0.417
Pb 0.667 0.333 0.083
Pb 0.667 0.333 0.935

Values from the calculation:
Energy in eV/atom: -4.12
Crystal system: trigonal

***

Computed, not measured: crystalline LiYPb2 at its relaxed geometry at the PBE-GGA level of DFT.

a = 4.812 Å, b = 4.812 Å, c = 4.441 Å
α = 90.00°, β = 90.00°, γ = 90.00°
Positions (direct):
Li 0.000 0.000 0.000
Y 0.500 0.500 0.000
Pb 0.000 0.500 0.500
Pb 0.500 0.000 0.500

Values from the calculation:
Energy in eV/atom: -4.37
Crystal system: tetragonal

***

Computed, not measured: crystalline Li2YbPb at its relaxed geometry at the PBE-GGA level of DFT.

a = 6.991 Å, b = 6.991 Å, c = 6.991 Å
α = 90.00°, β = 90.00°, γ = 90.00°
Positions (direct):
Li 0.250 0.250 0.250
Li 0.250 0.250 0.750
Li 0.250 0.750 0.250
Li 0.250 0.750 0.750
Li 0.750 0.250 0.250
Li 0.750 0.250 0.750
Li 0.750 0.750 0.250
Li 0.750 0.750 0.750
Yb 0.000 0.000 0.000
Yb 0.000 0.500 0.500
Yb 0.500 0.000 0.500
Yb 0.500 0.500 0.000
Pb 0.000 0.000 0.500
Pb 0.000 0.500 0.000
Pb 0.500 0.000 0.000
Pb 0.500 0.500 0.500

Values from the calculation:
Energy in eV/atom: -2.68
Crystal system: cubic

***

Computed, not measured: crystalline LiYbPb2 at its relaxed geometry at the PBE-GGA level of DFT.

a = 7.500 Å, b = 7.500 Å, c = 7.500 Å
α = 90.00°, β = 90.00°, γ = 90.00°
Positions (direct):
Li 0.000 0.000 0.000
Li 0.000 0.500 0.500
Li 0.500 0.000 0.500
Li 0.500 0.500 0.000
Yb 0.000 0.000 0.500
Yb 0.000 0.500 0.000
Yb 0.500 0.000 0.000
Yb 0.500 0.500 0.500
Pb 0.250 0.250 0.250
Pb 0.250 0.250 0.750
Pb 0.250 0.750 0.250
Pb 0.250 0.750 0.750
Pb 0.750 0.250 0.250
Pb 0.750 0.250 0.750
Pb 0.750 0.750 0.250
Pb 0.750 0.750 0.750

Values from the calculation:
Energy in eV/atom: -3.12
Crystal system: cubic

***

Number 1: calculated density 8.27 g cm⁻³, calculated formation energy -0.348 eV/atom. Number 2: calculated density 7.83 g cm⁻³, calculated formation energy -0.183 eV/atom. Number 3: calculated density 4.28 g cm⁻³, calculated formation energy -0.103 eV/atom. Number 4: calculated density 5.17 g cm⁻³, calculated formation energy 0.181 eV/atom. Number 5: calculated density 7.43 g cm⁻³, calculated formation energy 0.035 eV/atom. Number 6: calculated density 5.79 g cm⁻³, calculated formation energy 0.316 eV/atom. Number 7: calculated density 6.44 g cm⁻³, calculated formation energy -0.355 eV/atom. Number 8: calculated density 5.49 g cm⁻³, calculated formation energy -0.197 eV/atom. Number 9: calculated density 8.65 g cm⁻³, calculated formation energy -0.022 eV/atom. Number 10: calculated density 7.95 g cm⁻³, calculated formation energy -0.316 eV/atom. Number 11: calculated density 5.84 g cm⁻³, calculated formation energy -0.375 eV/atom. Number 12: calculated density 7.39 g cm⁻³, calculated formation energy -0.013 eV/atom. Number 13: calculated density 9.50 g cm⁻³, calculated formation energy -0.177 eV/atom. Number 14: calculated density 8.10 g cm⁻³, calculated formation energy -0.354 eV/atom. Number 15: calculated density 7.96 g cm⁻³, calculated formation energy -0.440 eV/atom. Number 16: calculated density 6.36 g cm⁻³, calculated formation energy 0.230 eV/atom. Number 17: calculated density 7.93 g cm⁻³, calculated formation energy -0.306 eV/atom. Number 18: calculated density 7.70 g cm⁻³, calculated formation energy -0.128 eV/atom. Number 19: calculated density 7.86 g cm⁻³, calculated formation energy -0.279 eV/atom. Number 20: calculated density 7.82 g cm⁻³, calculated formation energy -0.330 eV/atom. Number 21: calculated density 8.03 g cm⁻³, calculated formation energy -0.301 eV/atom. Number 22: calculated density 4.22 g cm⁻³, calculated formation energy 0.134 eV/atom. Number 23: calculated density 7.30 g cm⁻³, calculated formation energy -0.176 eV/atom. Number 24: calculated density 8.24 g cm⁻³, calculated formation energy -0.419 eV/atom. Number 25: calculated density 7.66 g cm⁻³, calculated formation energy -0.415 eV/atom. Number 26: calculated density 9.36 g cm⁻³, calculated formation energy -0.403 eV/atom.